(1)
VASP calculation (PBE-GGA) on Ba4InAgS6 after structural relaxation. Values from VASP.

Summary:
* density: 4.62 g/cm3
* formation energy without anion corrections: -18.6 eV per formula unit

```
&SYSTEM
  ibrav = 0, nat = 48, ntyp = 4
/
ATOMIC_SPECIES
Ba 137.33 Ba.upf
In 114.82 In.upf
Ag 107.87 Ag.upf
S 32.06 S.upf
CELL_PARAMETERS angstrom
8.821 0.000 0.000
0.000 9.007 0.000
-4.398 0.000 17.469
ATOMIC_POSITIONS angstrom
Ba -1.155 2.167 8.018
Ba -3.354 2.336 16.752
Ba -1.219 0.727 12.493
Ba 0.980 3.777 3.759
Ba -1.212 5.206 13.711
Ba 0.987 8.305 4.977
Ba 3.253 6.628 0.688
Ba 1.054 6.882 9.423
Ba 3.369 2.125 8.046
Ba 1.170 2.379 16.780
Ba 3.436 0.702 12.492
Ba 5.635 3.802 3.757
Ba 3.443 5.230 13.710
Ba 5.642 8.280 4.976
Ba 7.777 6.671 0.717
Ba 5.578 6.840 9.451
In 3.327 1.074 2.313
In 1.128 3.429 11.048
In 3.295 5.578 6.421
In 1.096 7.933 15.155
Ag -1.068 5.664 6.397
Ag -3.267 7.846 15.131
Ag 7.691 1.161 2.338
Ag 5.492 3.343 11.072
S -1.112 1.687 4.881
S -3.311 2.816 13.615
S -3.279 5.530 16.246
S -1.080 7.980 7.512
S -1.008 4.586 10.450
S 1.191 8.924 1.715
S -1.009 0.118 15.769
S 1.190 4.386 7.034
S 1.117 1.159 10.021
S 3.316 3.345 1.286
S 3.300 6.115 3.984
S 1.101 7.395 12.718
S 3.322 1.612 4.751
S 1.123 2.892 13.485
S 1.107 5.662 16.182
S 3.306 7.848 7.448
S 3.233 4.621 10.434
S 5.432 8.889 1.700
S 3.232 0.083 15.753
S 5.431 4.421 7.019
S 5.503 1.027 9.957
S 7.702 3.477 1.222
S 7.734 6.191 3.853
S 5.535 7.320 12.588
```

=====

(2)
VASP calculation (PBE-GGA) on Ba2InAg3Sb4 after structural relaxation. Values from VASP.

Summary:
* density: 6.81 g/cm3
* formation energy without anion corrections: -4.7 eV per formula unit
* DOS(E_F): 1.79 states/eV/f.u.

```
&SYSTEM
  ibrav = 0, nat = 10, ntyp = 4
/
ATOMIC_SPECIES
Ba 137.33 Ba.upf
In 114.82 In.upf
Ag 107.87 Ag.upf
Sb 121.76 Sb.upf
CELL_PARAMETERS angstrom
5.038 0.000 0.000
0.000 5.038 0.000
0.000 0.000 11.524
ATOMIC_POSITIONS angstrom
Ba 0.000 2.519 2.765
Ba 2.519 0.000 8.758
In 0.000 0.000 5.762
Ag 0.000 2.519 10.105
Ag 2.519 0.000 1.419
Ag 2.519 2.519 5.762
Sb 0.000 0.000 0.000
Sb 0.000 2.519 7.327
Sb 2.519 0.000 4.197
Sb 2.519 2.519 0.000
```

=====

> What is the formation energy without anion corrections in the first record?

-18.6 eV per formula unit